[1]
Material: CoSi3C
Method: DFT, PBE-GGA
State: relaxed

abc: 3.895 3.895 3.895
angles: 90.00 90.00 90.00
Space group Pm-3m (No. 221)
Symmetry-distinct sites (fractional):
Co1 0.000 0.000 0.000 (multiplicity 1)
Si1 0.000 0.500 0.500 (multiplicity 3)
C1 0.500 0.500 0.500 (multiplicity 1)

Calculated values
Uncorrected formation energy, meV/atom: 855.1
Density, Mg/m³: 4.36
Magnetic moment, μB per formula unit: 0.00

---

[2]
Material: Pr2TlNi
Method: DFT, PBE-GGA
State: relaxed

abc: 7.536 7.536 7.536
angles: 90.00 90.00 90.00
Space group Fm-3m (No. 225)
Symmetry-distinct sites (fractional):
Pr1 0.250 0.250 0.250 (multiplicity 8)
Tl1 0.000 0.000 0.000 (multiplicity 4)
Ni1 0.000 0.000 0.500 (multiplicity 4)

Calculated values
Density, Mg/m³: 8.46
Formation energy from the elements, eV/atom: -0.156
Magnetic moment, μB per formula unit: 0.00

---

[3]
Material: BiH4
Method: DFT, PBE-GGA
State: relaxed

abc: 3.985 3.985 3.985
angles: 90.00 90.00 90.00
Space group Pm-3m (No. 221)
Symmetry-distinct sites (fractional):
Bi1 0.000 0.000 0.000 (multiplicity 1)
H1 0.000 0.000 0.500 (multiplicity 3)
H2 0.500 0.500 0.500 (multiplicity 1)

Calculated values
Energy, Ry per atom: -0.1923
Density, Mg/m³: 5.59
Magnetic moment, μB per formula unit: 0.00

---

[4]
Material: SmZnPt4
Method: DFT, PBE-GGA
State: relaxed

abc: 3.954 15.927 6.777
angles: 90.00 90.00 90.00
Space group Cmcm (No. 63)
Symmetry-distinct sites (fractional):
Sm1 0.000 0.106 0.250 (multiplicity 4)
Zn1 0.000 0.235 0.750 (multiplicity 4)
Pt1 0.000 0.074 0.750 (multiplicity 4)
Pt2 0.000 0.326 0.047 (multiplicity 8)
Pt3 0.000 0.500 0.000 (multiplicity 4)

Calculated values
Density, Mg/m³: 15.50
Formation energy from the elements, eV/atom: -0.716
Magnetic moment, μB per formula unit: 0.00

---

[5]
Material: HoPaTcMo
Method: DFT, PBE-GGA
State: relaxed

abc: 6.866 6.866 6.866
angles: 90.00 90.00 90.00
Space group F-43m (No. 216)
Symmetry-distinct sites (fractional):
Ho1 0.000 0.000 0.000 (multiplicity 4)
Pa1 0.000 0.000 0.500 (multiplicity 4)
Tc1 0.250 0.250 0.250 (multiplicity 4)
Mo1 0.250 0.250 0.750 (multiplicity 4)

Calculated values
Density, Mg/m³: 12.11
Formation energy from the elements, eV/atom: 0.041
Magnetic moment, μB per formula unit: 0.00

---

[6]
Material: PrHoZnIr
Method: DFT, PBE-GGA
State: relaxed

abc: 7.109 7.109 7.109
angles: 90.00 90.00 90.00
Space group F-43m (No. 216)
Symmetry-distinct sites (fractional):
Pr1 0.000 0.000 0.000 (multiplicity 4)
Ho1 0.000 0.000 0.500 (multiplicity 4)
Zn1 0.250 0.250 0.750 (multiplicity 4)
Ir1 0.250 0.250 0.250 (multiplicity 4)

Calculated values
Density, Mg/m³: 10.42
Formation energy from the elements, eV/atom: -0.527
Magnetic moment, μB per formula unit: 0.00

---

- Which value of magnetic moment does entry 3 give?
  0.00 μB per formula unit

---

- What is the formula in the second record?
  Pr2TlNi